Here is a geometry-optimized Ba6SnAs2I3 structure from the Alexandria database. Energies are from PBE.

Cell and atoms, written as CIF:
```
data_Ba6SnAs2I3
_chemical_formula_sum 'Ba6 Sn1 As2 I3'
_cell_length_a 11.3525
_cell_length_b 11.3525
_cell_length_c 10.4300
_cell_angle_alpha 104.79
_cell_angle_beta 104.79
_cell_angle_gamma 24.44
_symmetry_space_group_name_H-M 'P 1'
_symmetry_Int_Tables_number 1
_symmetry_space_group_name_Hall 'P 1'
loop_
_atom_site_label
_atom_site_type_symbol
_atom_site_fract_x
_atom_site_fract_y
_atom_site_fract_z
Ba1 Ba 0.0148 0.0148 0.2481
Ba2 Ba 0.3218 0.3218 0.4411
Ba3 Ba 0.3369 0.3369 0.8802
Ba4 Ba 0.6631 0.6631 0.1198
Ba5 Ba 0.6782 0.6782 0.5589
Ba6 Ba 0.9852 0.9852 0.7519
Sn1 Sn 0.5000 0.5000 0.0000
As1 As 0.1685 0.1685 0.3392
As2 As 0.8315 0.8315 0.6608
I1 I 0.1658 0.1658 0.8312
I2 I 0.5000 0.5000 0.5000
I3 I 0.8342 0.8342 0.1688
```

* density of states at the Fermi level: 0.54 states/eV per atom
* formation energy without anion corrections: -1297.6 meV per atom
* final energy: -3.7550 eV/atom

***

Here is a geometry-optimized Te3PtC structure from the Alexandria database. Energies are from PBE.

Cell and atoms, written as CIF:
```
data_Te3PtC
_chemical_formula_sum 'Te3 Pt1 C1'
_cell_length_a 4.7011
_cell_length_b 4.7011
_cell_length_c 4.7011
_cell_angle_alpha 90.00
_cell_angle_beta 90.00
_cell_angle_gamma 90.00
_symmetry_space_group_name_H-M 'P 1'
_symmetry_Int_Tables_number 1
_symmetry_space_group_name_Hall 'P 1'
loop_
_atom_site_label
_atom_site_type_symbol
_atom_site_fract_x
_atom_site_fract_y
_atom_site_fract_z
Te1 Te 0.0000 0.0000 0.5000
Te2 Te 0.0000 0.5000 0.0000
Te3 Te 0.5000 0.0000 0.0000
Pt1 Pt 0.5000 0.5000 0.5000
C1 C 0.0000 0.0000 0.0000
```

* density of states at the Fermi level: 0.87 states/eV per atom
* formation energy without anion corrections: 1156.7 meV per atom
* final energy: -3.7813 eV/atom

***

Here is a geometry-optimized Tm4TlS6 structure from the Alexandria database. Energies are from PBE.

Cell and atoms, written as CIF:
```
data_Tm4TlS6
_chemical_formula_sum 'Tm8 Tl2 S12'
_cell_length_a 6.7659
_cell_length_b 6.7659
_cell_length_c 20.7259
_cell_angle_alpha 90.00
_cell_angle_beta 90.00
_cell_angle_gamma 146.48
_symmetry_space_group_name_H-M 'P 1'
_symmetry_Int_Tables_number 1
_symmetry_space_group_name_Hall 'P 1'
loop_
_atom_site_label
_atom_site_type_symbol
_atom_site_fract_x
_atom_site_fract_y
_atom_site_fract_z
Tm1 Tm 0.0978 0.9022 0.6329
Tm2 Tm 0.0978 0.9022 0.8671
Tm3 Tm 0.3681 0.6319 0.5406
Tm4 Tm 0.3681 0.6319 0.9594
Tm5 Tm 0.6319 0.3681 0.0406
Tm6 Tm 0.6319 0.3681 0.4594
Tm7 Tm 0.9022 0.0978 0.1329
Tm8 Tm 0.9022 0.0978 0.3671
Tl1 Tl 0.1578 0.8422 0.2500
Tl2 Tl 0.8422 0.1578 0.7500
S1 S 0.0000 0.0000 0.0000
S2 S 0.0000 0.0000 0.5000
S3 S 0.1614 0.8386 0.7500
S4 S 0.2713 0.7287 0.0790
S5 S 0.2713 0.7287 0.4210
S6 S 0.4645 0.5355 0.6504
S7 S 0.4645 0.5355 0.8496
S8 S 0.5355 0.4645 0.1504
S9 S 0.5355 0.4645 0.3496
S10 S 0.7287 0.2713 0.5790
S11 S 0.7287 0.2713 0.9210
S12 S 0.8386 0.1614 0.2500
```

* density of states at the Fermi level: 0.18 states/eV per atom
* formation energy without anion corrections: -1789.0 meV per atom
* final energy: -5.8814 eV/atom

***

Here is a geometry-optimized KHfFeIr2 structure from the Alexandria database. Energies are from PBE.

Cell and atoms, written as CIF:
```
data_KHfFeIr2
_chemical_formula_sum 'K1 Hf1 Fe1 Ir2'
_cell_length_a 4.9528
_cell_length_b 4.9528
_cell_length_c 4.9507
_cell_angle_alpha 90.00
_cell_angle_beta 90.00
_cell_angle_gamma 90.00
_symmetry_space_group_name_H-M 'P 1'
_symmetry_Int_Tables_number 1
_symmetry_space_group_name_Hall 'P 1'
loop_
_atom_site_label
_atom_site_type_symbol
_atom_site_fract_x
_atom_site_fract_y
_atom_site_fract_z
K1 K 0.0000 0.0000 0.0000
Hf1 Hf 0.5000 0.5000 0.5000
Fe1 Fe 0.5000 0.5000 0.0000
Ir1 Ir 0.0000 0.5000 0.5000
Ir2 Ir 0.5000 0.0000 0.5000
```

* density of states at the Fermi level: 0.90 states/eV per atom
* final energy: -6.3025 eV/atom

***

Here is a geometry-optimized KRu2Se structure from the Alexandria database. Energies are from PBE.

Cell and atoms, written as CIF:
```
data_KRu2Se
_chemical_formula_sum 'K1 Ru2 Se1'
_cell_length_a 5.6147
_cell_length_b 5.6147
_cell_length_c 6.1662
_cell_angle_alpha 111.73
_cell_angle_beta 111.73
_cell_angle_gamma 30.54
_symmetry_space_group_name_H-M 'P 1'
_symmetry_Int_Tables_number 1
_symmetry_space_group_name_Hall 'P 1'
loop_
_atom_site_label
_atom_site_type_symbol
_atom_site_fract_x
_atom_site_fract_y
_atom_site_fract_z
K1 K 0.0000 0.0000 0.0000
Ru1 Ru 0.1955 0.1955 0.6045
Ru2 Ru 0.8045 0.8045 0.3955
Se1 Se 0.5000 0.5000 0.5000
```

* density of states at the Fermi level: 1.07 states/eV per atom
* formation energy without anion corrections: 475.5 meV per atom
* final energy: -5.3079 eV/atom

***

Here is a geometry-optimized CeHoSn structure from the Alexandria database. Energies are from PBE.

Cell and atoms, written as CIF:
```
data_CeHoSn
_chemical_formula_sum 'Ce1 Ho1 Sn1'
_cell_length_a 7.5797
_cell_length_b 7.5797
_cell_length_c 7.5797
_cell_angle_alpha 153.46
_cell_angle_beta 153.46
_cell_angle_gamma 37.88
_symmetry_space_group_name_H-M 'P 1'
_symmetry_Int_Tables_number 1
_symmetry_space_group_name_Hall 'P 1'
loop_
_atom_site_label
_atom_site_type_symbol
_atom_site_fract_x
_atom_site_fract_y
_atom_site_fract_z
Ce1 Ce 0.0000 0.0000 0.0000
Ho1 Ho 0.6930 0.6930 0.0000
Sn1 Sn 0.3427 0.3427 0.0000
```

* density of states at the Fermi level: 1.99 states/eV per atom
* final energy: -5.1691 eV/atom

***

Here is a geometry-optimized ZrCu2Ni9 structure from the Alexandria database. Energies are from PBE.

Cell and atoms, written as CIF:
```
data_ZrCu2Ni9
_chemical_formula_sum 'Zr1 Cu2 Ni9'
_cell_length_a 8.1789
_cell_length_b 8.1789
_cell_length_c 8.1789
_cell_angle_alpha 33.45
_cell_angle_beta 33.45
_cell_angle_gamma 33.45
_symmetry_space_group_name_H-M 'P 1'
_symmetry_Int_Tables_number 1
_symmetry_space_group_name_Hall 'P 1'
loop_
_atom_site_label
_atom_site_type_symbol
_atom_site_fract_x
_atom_site_fract_y
_atom_site_fract_z
Zr1 Zr 0.0000 0.0000 0.0000
Cu1 Cu 0.1465 0.1465 0.1465
Cu2 Cu 0.8535 0.8535 0.8535
Ni1 Ni 0.0814 0.5882 0.5882
Ni2 Ni 0.3343 0.3343 0.3343
Ni3 Ni 0.4118 0.4118 0.9186
Ni4 Ni 0.4118 0.9186 0.4118
Ni5 Ni 0.5000 0.5000 0.5000
Ni6 Ni 0.5882 0.0814 0.5882
Ni7 Ni 0.5882 0.5882 0.0814
Ni8 Ni 0.6657 0.6657 0.6657
Ni9 Ni 0.9186 0.4118 0.4118
```

* density of states at the Fermi level: 1.20 states/eV per atom
* final energy: -5.7914 eV/atom

***

Here is a geometry-optimized AcLuPd structure from the Alexandria database. Energies are from PBE.

Cell and atoms, written as CIF:
```
data_AcLuPd
_chemical_formula_sum 'Ac1 Lu1 Pd1'
_cell_length_a 5.0952
_cell_length_b 5.0952
_cell_length_c 5.0952
_cell_angle_alpha 60.00
_cell_angle_beta 60.00
_cell_angle_gamma 60.00
_symmetry_space_group_name_H-M 'P 1'
_symmetry_Int_Tables_number 1
_symmetry_space_group_name_Hall 'P 1'
loop_
_atom_site_label
_atom_site_type_symbol
_atom_site_fract_x
_atom_site_fract_y
_atom_site_fract_z
Ac1 Ac 0.0000 0.0000 0.0000
Lu1 Lu 0.5000 0.5000 0.5000
Pd1 Pd 0.2500 0.2500 0.2500
```

* density of states at the Fermi level: 1.15 states/eV per atom
* final energy: -4.9982 eV/atom

***

Here is a geometry-optimized ReTcP2 structure from the Alexandria database. Energies are from PBE.

Cell and atoms, written as CIF:
```
data_ReTcP2
_chemical_formula_sum 'Re1 Tc1 P2'
_cell_length_a 4.3126
_cell_length_b 4.3126
_cell_length_c 4.3126
_cell_angle_alpha 60.00
_cell_angle_beta 60.00
_cell_angle_gamma 60.00
_symmetry_space_group_name_H-M 'P 1'
_symmetry_Int_Tables_number 1
_symmetry_space_group_name_Hall 'P 1'
loop_
_atom_site_label
_atom_site_type_symbol
_atom_site_fract_x
_atom_site_fract_y
_atom_site_fract_z
Re1 Re 0.0000 0.0000 0.0000
Tc1 Tc 0.2500 0.2500 0.2500
P1 P 0.5000 0.5000 0.5000
P2 P 0.7500 0.7500 0.7500
```

* density of states at the Fermi level: 1.33 states/eV per atom
* final energy: -7.8671 eV/atom

***

Here is a geometry-optimized CdSnHPd4 structure from the Alexandria database. Energies are from PBE.

Cell and atoms, written as CIF:
```
data_CdSnHPd4
_chemical_formula_sum 'Cd2 Sn2 H2 Pd8'
_cell_length_a 7.4767
_cell_length_b 7.4767
_cell_length_c 5.6313
_cell_angle_alpha 90.00
_cell_angle_beta 90.00
_cell_angle_gamma 135.75
_symmetry_space_group_name_H-M 'P 1'
_symmetry_Int_Tables_number 1
_symmetry_space_group_name_Hall 'P 1'
loop_
_atom_site_label
_atom_site_type_symbol
_atom_site_fract_x
_atom_site_fract_y
_atom_site_fract_z
Cd1 Cd 0.0996 0.9004 0.7500
Cd2 Cd 0.9004 0.0996 0.2500
Sn1 Sn 0.3941 0.6059 0.7500
Sn2 Sn 0.6059 0.3941 0.2500
H1 H 0.2422 0.7578 0.2500
H2 H 0.7578 0.2422 0.7500
Pd1 Pd 0.0000 0.5000 0.0000
Pd2 Pd 0.0000 0.5000 0.5000
Pd3 Pd 0.0959 0.9041 0.2500
Pd4 Pd 0.4150 0.5850 0.2500
Pd5 Pd 0.5000 0.0000 0.0000
Pd6 Pd 0.5000 0.0000 0.5000
Pd7 Pd 0.5850 0.4150 0.7500
Pd8 Pd 0.9041 0.0959 0.7500
```

* density of states at the Fermi level: 0.31 states/eV per atom
* final energy: -4.4630 eV/atom

***

Here is a geometry-optimized Li5Al3Hg3 structure from the Alexandria database. Energies are from PBE.

Cell and atoms, written as CIF:
```
data_Li5Al3Hg3
_chemical_formula_sum 'Li5 Al3 Hg3'
_cell_length_a 9.3420
_cell_length_b 9.3420
_cell_length_c 2.9663
_cell_angle_alpha 90.00
_cell_angle_beta 90.00
_cell_angle_gamma 120.00
_symmetry_space_group_name_H-M 'P 1'
_symmetry_Int_Tables_number 1
_symmetry_space_group_name_Hall 'P 1'
loop_
_atom_site_label
_atom_site_type_symbol
_atom_site_fract_x
_atom_site_fract_y
_atom_site_fract_z
Li1 Li 0.0000 0.6613 0.0000
Li2 Li 0.3333 0.6667 0.0000
Li3 Li 0.3387 0.3387 0.0000
Li4 Li 0.6613 0.0000 0.0000
Li5 Li 0.6667 0.3333 0.0000
Al1 Al 0.0000 0.1634 0.0000
Al2 Al 0.1634 0.0000 0.0000
Al3 Al 0.8366 0.8366 0.0000
Hg1 Hg 0.0000 0.4161 0.5000
Hg2 Hg 0.4161 0.0000 0.5000
Hg3 Hg 0.5839 0.5839 0.5000
```

* density of states at the Fermi level: 0.32 states/eV per atom
* final energy: -2.0510 eV/atom

***

Q: The lowest density of states at the Fermi level belongs to which entry?
A: Tm4TlS6

***

Q: What is the formula in the second record?
A: Te3PtC